Here is a relaxed Pd2RhPb crystal from Alexandria via LeMat-Bulk. Energies are from PBE.

Properties
Calculated formation energy ... -0.120 eV per atom
Electronic total energy ... -21.93 eV for the cell shown
Calculated volume ... 67.8 Å³/cell
Symmetry ... P4/mmm, No. 123
ρ ... 12.8 Mg/m³

The structure in POSCAR format:
```
Pd2RhPb
1.0
4.217 0.000 0.000
0.000 4.009 0.000
0.000 0.000 4.009
Pd Rh Pb
2 1 1
Cartesian
0.000 0.000 2.004
0.000 2.004 0.000
2.109 0.000 0.000
2.109 2.004 2.004
```